# 1
# LiCaOs2 (GGA-PBEsol, relaxed)
data_LiCaOs2
_chemical_formula_sum 'Li2 Ca2 Os4'
_cell_length_a 3.7020
_cell_length_b 3.7020
_cell_length_c 9.3852
_cell_angle_alpha 90.00
_cell_angle_beta 90.00
_cell_angle_gamma 90.00
_space_group_name_H-M_alt 'I 4/m m m'
_space_group_IT_number 139
_space_group_name_Hall '-I 4 2'
loop_
_atom_site_label
_atom_site_fract_x
_atom_site_fract_y
_atom_site_fract_z
Li1 0.0000 0.0000 0.0000
Ca1 0.0000 0.0000 0.5000
Os1 0.0000 0.5000 0.2500
# V, Å³/cell: 128.6
# Uncorrected energy, eV per atom: -6.601
# Crystal system: tetragonal

# 2
# Cs2BrCl (GGA-PBEsol, relaxed)
data_Cs2BrCl
_chemical_formula_sum 'Cs8 Br4 Cl4'
_cell_length_a 8.3235
_cell_length_b 8.3235
_cell_length_c 8.3235
_cell_angle_alpha 90.00
_cell_angle_beta 90.00
_cell_angle_gamma 90.00
_space_group_name_H-M_alt 'F m -3 m'
_space_group_IT_number 225
_space_group_name_Hall '-F 4 2 3'
loop_
_atom_site_label
_atom_site_fract_x
_atom_site_fract_y
_atom_site_fract_z
Cs1 0.2500 0.2500 0.2500
Br1 0.0000 0.0000 0.0000
Cl1 0.0000 0.0000 0.5000
# V, Å³/cell: 576.7
# Formation energy (no corrections), kJ/mol of atoms: -178.3
# Crystal system: cubic

# 3
# Mn2TlSi (GGA-PBEsol, relaxed)
data_Mn2TlSi
_chemical_formula_sum 'Mn4 Tl2 Si2'
_cell_length_a 5.6118
_cell_length_b 7.3961
_cell_length_c 2.8230
_cell_angle_alpha 90.00
_cell_angle_beta 90.00
_cell_angle_gamma 90.00
_space_group_name_H-M_alt 'C m m m'
_space_group_IT_number 65
_space_group_name_Hall '-C 2 2'
loop_
_atom_site_label
_atom_site_fract_x
_atom_site_fract_y
_atom_site_fract_z
Mn1 0.2500 0.2500 0.0000
Tl1 0.0000 0.0000 0.5000
Si1 0.0000 0.5000 0.5000
# V, Å³/cell: 117.2
# Formation energy (no corrections), kJ/mol of atoms: 43.1
# Crystal system: orthorhombic

# 4
# CsZr6I14 (GGA-PBEsol, relaxed)
data_CsZr6I14
_chemical_formula_sum 'Cs4 Zr24 I56'
_cell_length_a 15.8352
_cell_length_b 14.1483
_cell_length_c 12.8848
_cell_angle_alpha 90.00
_cell_angle_beta 90.00
_cell_angle_gamma 90.00
_space_group_name_H-M_alt 'C m c e'
_space_group_IT_number 64
_space_group_name_Hall '-C 2ac 2'
loop_
_atom_site_label
_atom_site_fract_x
_atom_site_fract_y
_atom_site_fract_z
Cs1 0.0000 0.0000 0.0000
Zr1 0.0000 0.1151 0.4152
Zr2 0.1137 0.0700 0.6152
I1 0.0000 0.1629 0.7614
I2 0.1233 0.0897 0.2527
I3 0.1237 0.2422 0.5032
I4 0.2436 0.0000 0.0000
I5 0.2500 0.1554 0.7500
# V, Å³/cell: 2886.7
# Formation energy (no corrections), kJ/mol of atoms: -89.3
# Crystal system: orthorhombic

# 5
# LiMnNi2 (GGA-PBEsol, relaxed)
data_LiMnNi2
_chemical_formula_sum 'Li2 Mn2 Ni4'
_cell_length_a 5.6270
_cell_length_b 5.6387
_cell_length_c 2.7625
_cell_angle_alpha 90.00
_cell_angle_beta 90.00
_cell_angle_gamma 90.00
_space_group_name_H-M_alt 'C m m m'
_space_group_IT_number 65
_space_group_name_Hall '-C 2 2'
loop_
_atom_site_label
_atom_site_fract_x
_atom_site_fract_y
_atom_site_fract_z
Li1 0.0000 0.0000 0.0000
Mn1 0.0000 0.5000 0.0000
Ni1 0.2500 0.2500 0.5000
# V, Å³/cell: 87.7
# Uncorrected energy, eV per atom: -5.967
# Crystal system: orthorhombic

# 6
# CaBiP2Cl (GGA-PBEsol, relaxed)
data_CaBiP2Cl
_chemical_formula_sum 'Ca1 Bi1 P2 Cl1'
_cell_length_a 5.2433
_cell_length_b 5.2433
_cell_length_c 4.8516
_cell_angle_alpha 90.00
_cell_angle_beta 90.00
_cell_angle_gamma 90.00
_space_group_name_H-M_alt 'P 4/m m m'
_space_group_IT_number 123
_space_group_name_Hall '-P 4 2'
loop_
_atom_site_label
_atom_site_fract_x
_atom_site_fract_y
_atom_site_fract_z
Ca1 0.0000 0.0000 0.0000
Bi1 0.5000 0.5000 0.5000
P1 0.0000 0.5000 0.0000
Cl1 0.0000 0.0000 0.5000
# V, Å³/cell: 133.4
# Formation energy (no corrections), kJ/mol of atoms: 26.7
# Crystal system: tetragonal

# 7
# TlInI2 (GGA-PBEsol, relaxed)
data_TlInI2
_chemical_formula_sum 'Tl4 In4 I8'
_cell_length_a 8.2082
_cell_length_b 8.2082
_cell_length_c 8.2082
_cell_angle_alpha 90.00
_cell_angle_beta 90.00
_cell_angle_gamma 90.00
_space_group_name_H-M_alt 'F m -3 m'
_space_group_IT_number 225
_space_group_name_Hall '-F 4 2 3'
loop_
_atom_site_label
_atom_site_fract_x
_atom_site_fract_y
_atom_site_fract_z
Tl1 0.0000 0.0000 0.0000
In1 0.0000 0.0000 0.5000
I1 0.2500 0.2500 0.2500
# V, Å³/cell: 553.0
# Formation energy (no corrections), kJ/mol of atoms: -44.6
# Crystal system: cubic

# 8
# KAuBr2 (GGA-PBEsol, relaxed)
data_KAuBr2
_chemical_formula_sum 'K3 Au3 Br6'
_cell_length_a 4.3121
_cell_length_b 4.3121
_cell_length_c 20.8337
_cell_angle_alpha 90.00
_cell_angle_beta 90.00
_cell_angle_gamma 120.00
_space_group_name_H-M_alt 'R 3 m'
_space_group_IT_number 160
_space_group_name_Hall 'R 3 -2"'
loop_
_atom_site_label
_atom_site_fract_x
_atom_site_fract_y
_atom_site_fract_z
K1 0.0000 0.0000 0.0000
Au1 0.0000 0.0000 0.1716
Br1 0.0000 0.0000 0.5677
Br2 0.0000 0.0000 0.7669
# V, Å³/cell: 335.5
# Formation energy (no corrections), kJ/mol of atoms: -64.1
# Crystal system: trigonal

# 9
# BaNaO2 (GGA-PBEsol, relaxed)
data_BaNaO2
_chemical_formula_sum 'Ba4 Na4 O8'
_cell_length_a 5.2478
_cell_length_b 5.2478
_cell_length_c 12.2741
_cell_angle_alpha 90.00
_cell_angle_beta 90.00
_cell_angle_gamma 90.00
_space_group_name_H-M_alt 'I -4 2 d'
_space_group_IT_number 122
_space_group_name_Hall 'I -4 2bw'
loop_
_atom_site_label
_atom_site_fract_x
_atom_site_fract_y
_atom_site_fract_z
Ba1 0.0000 0.0000 0.0000
Na1 0.0000 0.0000 0.5000
O1 0.2249 0.2500 0.6250
# V, Å³/cell: 338.0
# Formation energy (no corrections), kJ/mol of atoms: -142.5
# Crystal system: tetragonal

# 10
# ZnCd2Cu (GGA-PBEsol, relaxed)
data_ZnCd2Cu
_chemical_formula_sum 'Zn2 Cd4 Cu2'
_cell_length_a 2.9586
_cell_length_b 4.5455
_cell_length_c 9.8883
_cell_angle_alpha 90.00
_cell_angle_beta 90.00
_cell_angle_gamma 90.00
_space_group_name_H-M_alt 'I m m 2'
_space_group_IT_number 44
loop_
_space_group_symop_operation_xyz
'x,y,z'
'-x,-y,z'
'-x,y,z'
'x,-y,z'
'x+1/2,y+1/2,z+1/2'
'-x+1/2,-y+1/2,z+1/2'
'-x+1/2,y+1/2,z+1/2'
'x+1/2,-y+1/2,z+1/2'
loop_
_atom_site_label
_atom_site_fract_x
_atom_site_fract_y
_atom_site_fract_z
Zn1 0.0000 0.0000 0.0000
Cd1 0.0000 0.0000 0.5649
Cd2 0.0000 0.5000 0.7789
Cu1 0.0000 0.5000 0.2979
# V, Å³/cell: 133.0
# Uncorrected energy, eV per atom: -2.026
# Crystal system: orthorhombic

# 11
# ScCr2Fe (GGA-PBEsol, relaxed)
data_ScCr2Fe
_chemical_formula_sum 'Sc1 Cr2 Fe1'
_cell_length_a 2.6195
_cell_length_b 4.1451
_cell_length_c 4.7563
_cell_angle_alpha 90.00
_cell_angle_beta 102.71
_cell_angle_gamma 90.00
_space_group_name_H-M_alt 'P 1 2/m 1'
_space_group_IT_number 10
loop_
_space_group_symop_operation_xyz
'x,y,z'
'-x,-y,-z'
'-x,y,-z'
'x,-y,z'
loop_
_atom_site_label
_atom_site_fract_x
_atom_site_fract_y
_atom_site_fract_z
Sc1 0.0000 0.0000 0.0000
Cr1 0.2547 0.5000 0.7333
Fe1 0.5000 0.0000 0.5000
# V, Å³/cell: 50.4
# Uncorrected energy, eV per atom: -8.693
# Crystal system: monoclinic

# 12
# Li3Ni (GGA-PBEsol, relaxed)
data_Li3Ni
_chemical_formula_sum 'Li3 Ni1'
_cell_length_a 2.5843
_cell_length_b 2.5843
_cell_length_c 8.4182
_cell_angle_alpha 90.00
_cell_angle_beta 90.00
_cell_angle_gamma 90.00
_space_group_name_H-M_alt 'P 4/m m m'
_space_group_IT_number 123
_space_group_name_Hall '-P 4 2'
loop_
_atom_site_label
_atom_site_fract_x
_atom_site_fract_y
_atom_site_fract_z
Li1 0.0000 0.0000 0.0000
Li2 0.5000 0.5000 0.2937
Ni1 0.0000 0.0000 0.5000
# V, Å³/cell: 56.2
# Uncorrected energy, eV per atom: -2.927
# Crystal system: tetragonal

Question: The lowest V belongs to which entry?
Answer: ScCr2Fe

Question: What is the V in the second record?
Answer: 576.7 Å³/cell

Question: Look up the V of the fourth one.
Answer: 2886.7 Å³/cell

Question: Look up the V of the seventh one.
Answer: 553.0 Å³/cell